{"formula": "CePuH2", "functional": "PBE", "state": "relaxed", "lattice": [[3.483, 0.000, 0.000], [1.742, 3.016, 0.000], [1.742, 1.005, 5.822]], "species": ["Ce", "H", "H", "Pu"], "fractional_positions": [[0.669, 0.669, 0.992], [0.250, 0.250, 0.250], [0.083, 0.083, 0.751], [0.498, 0.498, 0.506]], "relative_energy_ev_per_fu": 0.38, "magmom_total_mub_per_fu": 6.45, "total_energy_ev_per_atom": -6.9398}